No. 1
{"formula": "Mg14Ge5O24", "functional": "meta-GGA SCAN", "state": "single point on PBEsol structure", "lattice_angstrom": [[-0.859, -5.544, 2.000], [6.215, -3.599, -7.308], [11.381, 1.468, 8.956]], "species": ["Mg", "Mg", "Mg", "Mg", "Mg", "Mg", "Mg", "Mg", "Mg", "Mg", "Mg", "Mg", "Mg", "Mg", "Mg", "Mg", "Mg", "Mg", "Mg", "Mg", "Mg", "Mg", "Mg", "Mg", "Mg", "Mg", "Mg", "Mg", "O", "O", "O", "O", "O", "O", "O", "O", "O", "O", "O", "O", "O", "O", "O", "O", "O", "O", "O", "O", "O", "O", "O", "O", "O", "O", "O", "O", "O", "O", "O", "O", "O", "O", "O", "O", "O", "O", "O", "O", "O", "O", "O", "O", "O", "O", "O", "O", "Ge", "Ge", "Ge", "Ge", "Ge", "Ge", "Ge", "Ge", "Ge", "Ge"], "frac_coords": [[0.758, 0.749, 0.004], [0.500, 0.500, 0.500], [0.246, 0.581, 0.669], [0.500, 0.352, 0.826], [0.758, 0.251, 0.996], [0.500, 0.500, 0.000], [0.000, 0.821, 0.824], [0.000, 0.321, 0.676], [0.242, 0.751, 0.504], [0.000, 0.679, 0.324], [0.758, 0.249, 0.496], [0.754, 0.919, 0.169], [0.754, 0.081, 0.831], [0.754, 0.419, 0.331], [0.242, 0.749, 0.004], [0.500, 0.648, 0.174], [0.500, 0.000, 0.000], [0.500, 0.852, 0.674], [0.758, 0.751, 0.504], [0.242, 0.249, 0.496], [0.246, 0.419, 0.331], [0.246, 0.919, 0.169], [0.242, 0.251, 0.996], [0.754, 0.581, 0.669], [0.500, 0.148, 0.326], [0.000, 0.179, 0.176], [0.500, 0.000, 0.500], [0.246, 0.081, 0.831], [0.272, 0.248, 0.744], [0.776, 0.422, 0.576], [0.500, 0.830, 0.433], [0.224, 0.578, 0.424], [0.224, 0.422, 0.576], [0.000, 0.163, 0.584], [0.000, 0.152, 0.921], [0.000, 0.663, 0.916], [0.249, 0.581, 0.086], [0.000, 0.504, 0.248], [0.500, 0.332, 0.414], [0.000, 0.848, 0.079], [0.500, 0.668, 0.586], [0.728, 0.248, 0.744], [0.500, 0.479, 0.244], [0.272, 0.752, 0.256], [0.000, 0.837, 0.416], [0.751, 0.919, 0.586], [0.751, 0.081, 0.414], [0.500, 0.170, 0.567], [0.728, 0.752, 0.256], [0.000, 0.337, 0.084], [0.224, 0.078, 0.076], [0.500, 0.832, 0.086], [0.000, 0.652, 0.579], [0.000, 0.348, 0.421], [0.249, 0.081, 0.414], [0.500, 0.670, 0.933], [0.249, 0.419, 0.914], [0.500, 0.330, 0.067], [0.272, 0.252, 0.244], [0.000, 0.996, 0.748], [0.728, 0.252, 0.244], [0.272, 0.748, 0.756], [0.751, 0.419, 0.914], [0.500, 0.979, 0.256], [0.249, 0.919, 0.586], [0.224, 0.922, 0.924], [0.000, 0.004, 0.252], [0.776, 0.078, 0.076], [0.500, 0.521, 0.756], [0.776, 0.578, 0.424], [0.500, 0.021, 0.744], [0.728, 0.748, 0.756], [0.000, 0.496, 0.752], [0.751, 0.581, 0.086], [0.776, 0.922, 0.924], [0.500, 0.168, 0.914], [0.000, 0.999, 0.626], [0.000, 0.501, 0.126], [0.500, 0.326, 0.186], [0.000, 0.500, 0.500], [0.000, 0.001, 0.374], [0.000, 0.499, 0.874], [0.000, 0.000, 0.000], [0.500, 0.174, 0.686], [0.500, 0.826, 0.314], [0.500, 0.674, 0.814]], "raw_formation_energy_ev_per_atom": -2.664}



No. 2
{"formula": "Mg2GeO", "functional": "meta-GGA SCAN", "state": "single point on PBEsol structure", "lattice_angstrom": [[5.760, 0.069, 0.098], [-2.768, 5.052, -0.098], [-2.768, -1.817, 4.715]], "species": ["Ge", "Ge", "Mg", "Mg", "Mg", "Mg", "O", "O"], "frac_coords": [[0.500, 0.750, 0.250], [0.000, 0.000, 0.000], [0.612, 0.375, 0.487], [0.888, 0.513, 0.125], [0.388, 0.875, 0.763], [0.112, 0.237, 0.625], [0.500, 0.250, 0.750], [0.000, 0.500, 0.500]], "raw_formation_energy_ev_per_atom": -1.220}



No. 3
{"formula": "MgTiGe2O6", "functional": "meta-GGA SCAN", "state": "single point on PBEsol structure", "lattice_angstrom": [[-1.283, -4.829, -1.788], [6.290, 0.363, -5.493], [7.413, -3.272, 8.272]], "species": ["Ge", "Ge", "Ge", "Ge", "Ge", "Ge", "Ge", "Ge", "O", "O", "O", "O", "O", "O", "O", "O", "O", "O", "O", "O", "O", "O", "O", "O", "O", "O", "O", "O", "O", "O", "O", "O", "Ti", "Ti", "Ti", "Ti", "Mg", "Mg", "Mg", "Mg"], "frac_coords": [[0.186, 0.853, 0.923], [0.233, 0.851, 0.528], [0.733, 0.649, 0.528], [0.267, 0.351, 0.472], [0.767, 0.149, 0.472], [0.314, 0.353, 0.077], [0.686, 0.647, 0.923], [0.814, 0.147, 0.077], [0.787, 0.959, 0.415], [0.971, 0.688, 0.843], [0.265, 0.353, 0.622], [0.765, 0.147, 0.622], [0.735, 0.647, 0.378], [0.980, 0.338, 0.787], [0.951, 0.293, 0.405], [0.520, 0.838, 0.213], [0.978, 0.003, 0.196], [0.022, 0.997, 0.804], [0.213, 0.041, 0.585], [0.478, 0.497, 0.196], [0.235, 0.853, 0.378], [0.287, 0.541, 0.415], [0.471, 0.812, 0.843], [0.529, 0.188, 0.157], [0.713, 0.459, 0.585], [0.549, 0.793, 0.595], [0.020, 0.662, 0.213], [0.451, 0.207, 0.405], [0.522, 0.503, 0.804], [0.049, 0.707, 0.595], [0.029, 0.312, 0.157], [0.480, 0.162, 0.787], [0.859, 0.842, 0.277], [0.141, 0.158, 0.723], [0.359, 0.658, 0.277], [0.641, 0.342, 0.723], [0.154, 0.548, 0.741], [0.846, 0.452, 0.259], [0.654, 0.952, 0.741], [0.346, 0.048, 0.259]], "raw_formation_energy_ev_per_atom": -2.355}



No. 4
{"formula": "Y2Mg3Ge3O12", "functional": "meta-GGA SCAN", "state": "single point on PBEsol structure", "lattice_angstrom": [[-7.311, -6.593, 3.811], [8.208, 0.595, 6.613], [-4.251, 9.602, -1.086]], "species": ["Y", "Y", "Y", "Y", "Y", "Y", "Y", "Y", "Ge", "Ge", "Ge", "Ge", "Ge", "Ge", "Ge", "Ge", "Ge", "Ge", "Ge", "Ge", "O", "O", "O", "O", "O", "O", "O", "O", "O", "O", "O", "O", "O", "O", "O", "O", "O", "O", "O", "O", "O", "O", "O", "O", "O", "O", "O", "O", "O", "O", "O", "O", "O", "O", "O", "O", "O", "O", "O", "O", "O", "O", "O", "O", "O", "O", "O", "O", "Mg", "Mg", "Mg", "Mg", "Mg", "Mg", "Mg", "Mg", "Mg", "Mg", "Mg", "Mg"], "frac_coords": [[0.254, 0.125, 0.629], [0.875, 0.504, 0.129], [0.375, 0.746, 0.871], [0.496, 0.625, 0.371], [0.996, 0.625, 0.871], [0.754, 0.125, 0.129], [0.875, 0.004, 0.629], [0.375, 0.246, 0.371], [0.000, 0.000, 0.000], [0.750, 0.250, 0.500], [0.250, 0.750, 0.500], [0.875, 0.751, 0.376], [0.749, 0.625, 0.624], [0.875, 0.251, 0.876], [0.501, 0.125, 0.876], [0.249, 0.625, 0.124], [0.500, 0.500, 0.000], [0.001, 0.125, 0.376], [0.375, 0.499, 0.624], [0.375, 0.999, 0.124], [0.311, 0.344, 0.850], [0.526, 0.687, 0.772], [0.746, 0.585, 0.772], [0.437, 0.776, 0.272], [0.504, 0.165, 0.728], [0.027, 0.903, 0.564], [0.527, 0.963, 0.124], [0.026, 0.254, 0.839], [0.939, 0.406, 0.650], [0.037, 0.162, 0.564], [0.755, 0.289, 0.350], [0.713, 0.777, 0.624], [0.915, 0.754, 0.228], [0.539, 0.689, 0.033], [0.811, 0.961, 0.967], [0.594, 0.245, 0.533], [0.724, 0.063, 0.728], [0.537, 0.973, 0.876], [0.223, 0.847, 0.936], [0.495, 0.461, 0.150], [0.415, 0.187, 0.161], [0.153, 0.088, 0.376], [0.255, 0.906, 0.467], [0.835, 0.563, 0.339], [0.711, 0.061, 0.467], [0.097, 0.662, 0.124], [0.656, 0.505, 0.967], [0.813, 0.974, 0.228], [0.597, 0.473, 0.436], [0.224, 0.496, 0.661], [0.937, 0.665, 0.661], [0.995, 0.844, 0.033], [0.156, 0.189, 0.150], [0.838, 0.403, 0.876], [0.211, 0.745, 0.650], [0.213, 0.588, 0.936], [0.004, 0.276, 0.339], [0.412, 0.347, 0.624], [0.338, 0.463, 0.436], [0.912, 0.287, 0.064], [0.246, 0.474, 0.161], [0.039, 0.005, 0.850], [0.094, 0.561, 0.350], [0.335, 0.996, 0.272], [0.723, 0.787, 0.376], [0.653, 0.277, 0.064], [0.313, 0.085, 0.839], [0.439, 0.789, 0.533], [0.625, 0.875, 0.750], [0.500, 0.000, 0.500], [0.125, 0.875, 0.250], [0.625, 0.375, 0.250], [0.625, 0.875, 0.250], [0.250, 0.250, 0.000], [0.000, 0.500, 0.500], [0.125, 0.375, 0.250], [0.125, 0.375, 0.750], [0.625, 0.375, 0.750], [0.750, 0.750, 0.000], [0.125, 0.875, 0.750]], "raw_formation_energy_ev_per_atom": -2.785}



No. 5
{"formula": "Mg2GeP2", "functional": "meta-GGA SCAN", "state": "single point on PBEsol structure", "lattice_angstrom": [[4.524, 0.000, 0.000], [0.000, 4.524, 0.000], [-2.262, -2.262, 4.613]], "species": ["Mg", "Mg", "P", "P", "Ge"], "frac_coords": [[0.250, 0.750, 0.500], [0.750, 0.250, 0.500], [0.616, 0.616, 0.233], [0.384, 0.384, 0.767], [0.000, 0.000, 0.000]], "e_tot_ev_per_cell": -50.36}



No. 6
{"formula": "Mg3GeP", "functional": "meta-GGA SCAN", "state": "single point on PBEsol structure", "lattice_angstrom": [[4.891, 0.000, 0.000], [0.000, 4.891, 0.000], [0.000, 0.000, 4.891]], "species": ["Ge", "Mg", "Mg", "Mg", "P"], "frac_coords": [[0.000, 0.000, 0.000], [0.000, 0.000, 0.500], [0.000, 0.500, 0.000], [0.500, 0.000, 0.000], [0.500, 0.500, 0.500]], "e_tot_ev_per_cell": -43.42}



no.,M_tot (μB/f.u.),N(E_F) (states/eV/cell),theoretical density (g/cm3)
1,0.00,0.00,4.07
2,0.00,2.87,3.28
3,0.00,0.00,4.09
4,0.00,0.00,4.85
5,0.00,2.02,3.22
6,0.92,2.73,2.51